1.
{"formula": "ZrTi2InC", "functional": "PBE-GGA", "state": "optimized geometry", "lattice": [[4.2766, 0.0000, 0.0000], [0.0000, 4.2766, 0.0000], [0.0000, 0.0000, 4.5675]], "species": ["C", "Ti", "Zr", "In", "Ti"], "frac_coords": [[0.0000, 0.0000, 0.0000], [0.0000, 0.5000, 0.0000], [0.0000, 0.0000, 0.5000], [0.5000, 0.5000, 0.5000], [0.5000, 0.0000, 0.0000]], "e_tot_ev_per_atom": -7.781}

2.
{"formula": "TlIn2C", "functional": "PBE-GGA", "state": "optimized geometry", "lattice": [[0.0000, 3.5697, 3.5697], [3.5697, 0.0000, 3.5697], [3.5697, 3.5697, 0.0000]], "species": ["In", "Tl", "C", "In"], "frac_coords": [[0.2500, 0.2500, 0.2500], [0.5000, 0.5000, 0.5000], [0.0000, 0.0000, 0.0000], [0.7500, 0.7500, 0.7500]], "e_tot_ev_per_atom": -2.918}

3.
{"formula": "Tl2InC", "functional": "PBE-GGA", "state": "optimized geometry", "lattice": [[6.6239, 0.0000, 0.0000], [0.0000, 6.6239, 0.0000], [3.3119, 3.3119, 4.9572]], "species": ["In", "Tl", "C", "In", "C", "Tl", "Tl", "Tl"], "frac_coords": [[0.0000, 0.0000, 0.0000], [0.5257, 0.1250, 0.2500], [0.2500, 0.7500, 0.5000], [0.7500, 0.2500, 0.5000], [0.5000, 0.5000, 0.0000], [0.8750, 0.7757, 0.7500], [0.2243, 0.6250, 0.2500], [0.3750, 0.4743, 0.7500]], "e_tot_ev_per_atom": -3.133}

4.
{"formula": "Tl3InC", "functional": "PBE-GGA", "state": "optimized geometry", "lattice": [[-2.9657, 0.1997, -4.1510], [-0.7509, -5.0414, 0.2940], [-4.0874, 0.7813, 2.9579]], "species": ["Tl", "C", "Tl", "In", "Tl"], "frac_coords": [[0.5000, 0.0000, 0.0000], [0.0000, 0.0000, 0.0000], [0.0000, 0.0000, 0.5000], [0.5000, 0.5000, 0.5000], [0.0000, 0.5000, 0.0000]], "e_tot_ev_per_atom": -2.890}

5.
{"formula": "Tl2InC", "functional": "PBE-GGA", "state": "optimized geometry", "lattice": [[1.4740, -0.9146, 4.8166], [-1.4222, 3.1720, 3.7582], [-3.4294, -1.5293, 3.4798]], "species": ["Tl", "In", "Tl", "C"], "frac_coords": [[0.7500, 0.7500, 0.7500], [0.5000, 0.5000, 0.5000], [0.2500, 0.2500, 0.2500], [0.0000, 0.0000, 0.0000]], "e_tot_ev_per_atom": -2.799}

6.
{"formula": "Tl3InC", "functional": "PBE-GGA", "state": "optimized geometry", "lattice": [[-0.2051, 0.1098, -5.8317], [-5.3830, -2.2502, 0.1470], [-2.2457, 5.3839, 0.1803]], "species": ["In", "C", "Tl", "Tl", "Tl"], "frac_coords": [[0.0000, 0.0000, 0.0000], [0.5000, 0.5000, 0.5000], [0.5000, 0.0000, 0.0000], [0.0000, 0.5000, 0.0000], [0.0000, 0.0000, 0.5000]], "e_tot_ev_per_atom": -2.215}

Number 1: formation enthalpy at 0 K -2.60 eV per formula unit. Number 2: formation enthalpy at 0 K 5.39 eV per formula unit. Number 3: formation enthalpy at 0 K 4.16 eV per formula unit. Number 4: formation enthalpy at 0 K 4.61 eV per formula unit. Number 5: formation enthalpy at 0 K 5.50 eV per formula unit. Number 6: formation enthalpy at 0 K 7.99 eV per formula unit.